(1)
Compound: NaScC
Source: Alexandria via LeMat-Bulk
Functional: PBE-GGA
Structure: relaxed

Results
**Density**: 2.11 g cm⁻³
**Magnetic moment**: 0.0245 μB per atom
**SG**: No. 160
**N(E_F)**: 1.002 states/eV/atom
**Offset from the most stable computed form**: 0.52 eV per formula unit
**Calculated total energy**: -33.572 eV per cell
**Formation enthalpy at 0 K**: 0.030 eV/atom

Geometry as CIF:
```
data_NaScC
_space_group_name_H-M_alt 'P 1'
_space_group_IT_number 1
_cell_length_a 11.092
_cell_length_b 11.092
_cell_length_c 11.092
_cell_angle_alpha 18.96
_cell_angle_beta 18.96
_cell_angle_gamma 18.96
loop_
_space_group_symop_operation_xyz
'x,y,z'
loop_
_atom_site_label
_atom_site_fract_x
_atom_site_fract_y
_atom_site_fract_z
Na1 0.282 0.282 0.282
Sc1 0.421 0.421 0.421
Sc2 0.688 0.688 0.688
Na2 0.849 0.849 0.849
C1 0.053 0.053 0.053
C2 0.006 0.006 0.006
```

(2)
Compound: LiCd3Au3
Source: Alexandria via LeMat-Bulk
Functional: PBE-GGA
Structure: relaxed

Results
**Density**: 10.63 g cm⁻³
**Magnetic moment**: 0.0000 μB per atom
**SG**: No. 12
**N(E_F)**: 0.270 states/eV/atom
**Offset from the most stable computed form**: 0.15 eV per formula unit
**Calculated total energy**: -31.790 eV per cell
**Formation enthalpy at 0 K**: -0.201 eV/atom

Geometry as CIF:
```
data_LiCd3Au3
_space_group_name_H-M_alt 'P 1'
_space_group_IT_number 1
_cell_length_a 6.817
_cell_length_b 6.817
_cell_length_c 7.168
_cell_angle_alpha 90.30
_cell_angle_beta 90.30
_cell_angle_gamma 118.69
loop_
_space_group_symop_operation_xyz
'x,y,z'
loop_
_atom_site_label
_atom_site_fract_x
_atom_site_fract_y
_atom_site_fract_z
Au1 0.961 0.961 0.772
Au2 0.728 0.471 0.762
Li1 0.693 0.693 0.056
Cd1 0.705 0.705 0.435
Li2 0.307 0.307 0.944
Au3 0.039 0.039 0.228
Au4 0.471 0.728 0.762
Cd2 0.295 0.295 0.565
Cd3 0.803 0.197 0.000
Au5 0.529 0.272 0.238
Cd4 0.801 0.199 0.500
Au6 0.272 0.529 0.238
Cd5 0.197 0.803 0.000
Cd6 0.199 0.801 0.500
```

(3)
Compound: Nd6SiP2Cl3
Source: Alexandria via LeMat-Bulk
Functional: PBE-GGA
Structure: relaxed

Results
**Formation energy without anion corrections**: -1.47 eV/atom
**Density**: 5.59 g cm⁻³
**Magnetic moment**: 0.0000 μB per atom
**SG**: No. 12
**N(E_F)**: 0.432 states/eV/atom
**Calculated total energy**: -68.051 eV per cell

Geometry as CIF:
```
data_Nd6SiP2Cl3
_space_group_name_H-M_alt 'P 1'
_space_group_IT_number 1
_cell_length_a 4.159
_cell_length_b 8.497
_cell_length_c 9.459
_cell_angle_alpha 104.30
_cell_angle_beta 102.70
_cell_angle_gamma 90.00
loop_
_space_group_symop_operation_xyz
'x,y,z'
loop_
_atom_site_label
_atom_site_fract_x
_atom_site_fract_y
_atom_site_fract_z
Nd1 0.008 0.236 0.016
Cl1 0.834 0.168 0.668
P1 0.167 0.334 0.335
Nd2 0.660 0.104 0.320
Nd3 0.340 0.896 0.680
Cl2 0.166 0.832 0.332
Nd4 0.325 0.437 0.651
Cl3 0.500 0.500 0.000
Nd5 0.992 0.764 0.984
Nd6 0.675 0.563 0.349
Si1 0.500 0.000 0.000
P2 0.833 0.666 0.665
```

(4)
Compound: TiCuSn2Se5
Source: Alexandria via LeMat-Bulk
Functional: PBE-GGA
Structure: relaxed

Results
**Formation energy without anion corrections**: -0.56 eV/atom
**Density**: 5.59 g cm⁻³
**Magnetic moment**: 0.0000 μB per atom
**SG**: No. 36
**N(E_F)**: 0.302 states/eV/atom
**Calculated total energy**: -84.983 eV per cell

Geometry as CIF:
```
data_TiCuSn2Se5
_space_group_name_H-M_alt 'P 1'
_space_group_IT_number 1
_cell_length_a 3.797
_cell_length_b 9.096
_cell_length_c 13.089
_cell_angle_alpha 90.00
_cell_angle_beta 90.00
_cell_angle_gamma 102.05
loop_
_space_group_symop_operation_xyz
'x,y,z'
loop_
_atom_site_label
_atom_site_fract_x
_atom_site_fract_y
_atom_site_fract_z
Cu1 0.415 0.830 0.454
Se1 0.719 0.439 0.164
Se2 0.289 0.577 0.391
Se3 0.521 0.043 0.790
Se4 0.281 0.561 0.664
Se5 0.711 0.423 0.891
Se6 0.355 0.710 0.007
Ti1 0.206 0.411 0.021
Sn1 0.907 0.814 0.780
Sn2 0.093 0.186 0.280
Se7 0.479 0.957 0.290
Sn3 0.875 0.750 0.154
Ti2 0.794 0.589 0.521
Cu2 0.585 0.170 0.954
Sn4 0.125 0.250 0.654
Se8 0.936 0.872 0.563
Se9 0.064 0.128 0.063
Se10 0.645 0.290 0.507
```